Record 1
! SCAN Zr2InW, single point on PBEsol structure; values from VASP
&SYSTEM
  ibrav = 0, nat = 4, ntyp = 3
/
ATOMIC_SPECIES
Zr 91.22 Zr.upf
W 183.84 W.upf
In 114.82 In.upf
CELL_PARAMETERS angstrom
4.168 0.000 0.000
0.000 4.168 0.000
-2.084 -2.084 4.527
ATOMIC_POSITIONS angstrom
Zr 0.000 0.000 0.000
Zr 2.084 0.000 2.264
W 0.000 2.084 2.264
In 2.084 2.084 0.000
! - Electronic total energy: -164.20 eV for the cell shown
! - DOS(E_F): 4.61 states/eV/f.u.
! - Magnetization: 0.0 μB per formula unit
! - Space group: I-4m2, No. 119

=====

Record 2
! SCAN InTcPt, single point on PBEsol structure; values from VASP
&SYSTEM
  ibrav = 0, nat = 3, ntyp = 3
/
ATOMIC_SPECIES
In 114.82 In.upf
Pt 195.08 Pt.upf
Tc 98.00 Tc.upf
CELL_PARAMETERS angstrom
-2.909 3.032 -1.055
-3.533 0.556 2.445
-0.406 3.555 2.443
ATOMIC_POSITIONS angstrom
In 0.000 0.000 0.000
Pt -3.424 3.572 1.916
Tc -5.137 5.358 2.874
! - Electronic total energy: -137.66 eV for the cell shown
! - DOS(E_F): 1.78 states/eV/f.u.
! - Magnetization: 2.0 μB per formula unit
! - Space group: F-43m, No. 216

=====

Record 3
! SCAN La2SiIr, single point on PBEsol structure; values from VASP
&SYSTEM
  ibrav = 0, nat = 4, ntyp = 3
/
ATOMIC_SPECIES
La 138.91 La.upf
Ir 192.22 Ir.upf
Si 28.09 Si.upf
CELL_PARAMETERS angstrom
-1.514 3.568 1.714
0.027 -1.826 3.824
5.352 0.732 -2.037
ATOMIC_POSITIONS angstrom
La 1.548 2.586 1.223
La 0.000 0.000 0.000
Ir 2.318 -0.111 2.279
Si -0.743 0.871 2.769
! - Formation energy (no corrections): -433 meV per atom
! - Electronic total energy: -169.06 eV for the cell shown
! - DOS(E_F): 3.10 states/eV/f.u.
! - Magnetization: 0.0 μB per formula unit
! - Space group: I-4m2, No. 119

=====

Record 4
! SCAN AlSiAs2, single point on PBEsol structure; values from VASP
&SYSTEM
  ibrav = 0, nat = 4, ntyp = 3
/
ATOMIC_SPECIES
As 74.92 As.upf
Si 28.09 Si.upf
Al 26.98 Al.upf
CELL_PARAMETERS angstrom
3.669 0.000 0.000
0.000 3.669 0.000
-1.835 -1.835 5.235
ATOMIC_POSITIONS angstrom
As 1.835 0.000 2.617
As 0.000 0.000 0.000
Si 1.835 1.835 0.000
Al 0.000 1.835 2.617
! - Formation energy (no corrections): 386 meV per atom
! - Electronic total energy: -56.60 eV for the cell shown
! - DOS(E_F): 1.50 states/eV/f.u.
! - Energy above the most stable polymorph in this dataset: 0 meV/atom
! - Magnetization: 0.0 μB per formula unit
! - Space group: I-4m2, No. 119

=====

Record 5
! SCAN NaSn3P, single point on PBEsol structure; values from VASP
&SYSTEM
  ibrav = 0, nat = 5, ntyp = 3
/
ATOMIC_SPECIES
Na 22.99 Na.upf
Sn 118.71 Sn.upf
P 30.97 P.upf
CELL_PARAMETERS angstrom
5.215 0.000 0.000
0.000 5.215 0.000
0.000 0.000 5.215
ATOMIC_POSITIONS angstrom
Na 2.607 2.607 2.607
Sn 0.000 0.000 2.607
Sn 2.607 0.000 0.000
Sn 0.000 2.607 0.000
P 0.000 0.000 0.000
! - Electronic total energy: -120.45 eV for the cell shown
! - DOS(E_F): 4.15 states/eV/f.u.
! - Magnetization: 0.0 μB per formula unit
! - Space group: Pm-3m, No. 221

=====

Record 6
! SCAN ScBe3Ga, single point on PBEsol structure; values from VASP
&SYSTEM
  ibrav = 0, nat = 5, ntyp = 3
/
ATOMIC_SPECIES
Be 9.01 Be.upf
Ga 69.72 Ga.upf
Sc 44.96 Sc.upf
CELL_PARAMETERS angstrom
-1.159 -0.613 -4.528
3.187 -3.456 -0.348
-3.274 -3.147 1.264
ATOMIC_POSITIONS angstrom
Be -0.580 -0.306 -2.264
Be -1.637 -1.574 0.632
Be 1.594 -1.728 -0.174
Ga -0.623 -3.608 -1.806
Sc 0.000 0.000 0.000
! - Electronic total energy: -34.69 eV for the cell shown
! - DOS(E_F): 3.08 states/eV/f.u.
! - Magnetization: 1.7 μB per formula unit
! - Space group: Pm-3m, No. 221

=====

Record 7
! SCAN LaPr3Al4O12, single point on PBEsol structure; values from VASP
&SYSTEM
  ibrav = 0, nat = 20, ntyp = 4
/
ATOMIC_SPECIES
Al 26.98 Al.upf
O 16.00 O.upf
Pr 140.91 Pr.upf
La 138.91 La.upf
CELL_PARAMETERS angstrom
-3.494 3.717 -1.588
-4.760 -1.462 -1.936
-6.076 1.029 6.790
ATOMIC_POSITIONS angstrom
Al -5.917 1.538 -1.356
Al -9.499 2.359 -0.540
Al -8.413 1.746 4.623
Al -4.830 0.925 3.807
O -8.157 3.264 3.513
O -5.481 2.850 -0.056
O -1.588 1.689 -0.722
O -2.596 -0.797 -1.056
O -7.767 1.716 -0.971
O -4.070 1.363 -1.746
O -6.677 1.101 4.206
O -5.743 0.152 -0.072
O -7.746 -0.735 1.474
O -8.768 3.348 0.904
O -4.980 2.313 2.522
O -9.164 0.770 3.180
Pr 0.000 0.000 0.000
Pr -10.750 2.463 2.456
Pr -3.580 0.821 0.811
La -7.165 1.642 1.633
! - Formation energy (no corrections): -3641 meV per atom
! - Electronic total energy: -351.69 eV for the cell shown
! - DOS(E_F): 0.00 states/eV/f.u.
! - Magnetization: 0.0 μB per formula unit
! - Space group: R32, No. 155

=====

Record 8
! SCAN CsBe2ZnB, single point on PBEsol structure; values from VASP
&SYSTEM
  ibrav = 0, nat = 5, ntyp = 4
/
ATOMIC_SPECIES
B 10.81 B.upf
Zn 65.41 Zn.upf
Be 9.01 Be.upf
Cs 132.91 Cs.upf
CELL_PARAMETERS angstrom
4.028 0.000 0.000
0.000 4.028 0.000
0.000 0.000 5.235
ATOMIC_POSITIONS angstrom
B 0.000 0.000 0.000
Zn 0.000 0.000 2.617
Be 0.000 2.014 0.000
Be 2.014 0.000 0.000
Cs 2.014 2.014 2.617
! - Electronic total energy: -62.83 eV for the cell shown
! - DOS(E_F): 1.65 states/eV/f.u.
! - Magnetization: 0.0 μB per formula unit
! - Space group: P4/mmm, No. 123